(1)
This record from OQMD via LeMat-Bulk describes a geometry-optimized LuCdCuSe3 structure. The functional is GGA-PBE.

## Properties
Magnetic moment, μB/f.u.: 0.00
E_tot, eV per atom: -4.157

Unit cell a=6.790 b=6.790 c=10.498 alpha=90.00 beta=90.00 gamma=146.71
Fractional positions:
1 Lu 0.000 0.000 0.000
2 Lu 0.000 0.000 0.500
3 Cd 0.234 0.766 0.750
4 Cd 0.766 0.234 0.250
5 Cu 0.476 0.524 0.250
6 Cu 0.524 0.476 0.750
7 Se 0.098 0.902 0.250
8 Se 0.357 0.643 0.071
9 Se 0.357 0.643 0.429
10 Se 0.643 0.357 0.571
11 Se 0.643 0.357 0.929
12 Se 0.902 0.098 0.750

---

(2)
This record from OQMD via LeMat-Bulk describes a geometry-optimized In3Cu2P structure. The functional is GGA-PBE.

## Properties
E_tot, eV per atom: -3.429

Unit cell a=4.403 b=4.403 c=6.176 alpha=90.00 beta=90.00 gamma=90.00
Fractional positions:
1 In 0.000 0.000 0.000
2 In 0.000 0.000 0.500
3 In 0.500 0.500 0.000
4 Cu 0.000 0.500 0.268
5 Cu 0.500 0.000 0.732
6 P 0.500 0.500 0.500

---

(3)
This record from OQMD via LeMat-Bulk describes a geometry-optimized ErCu2Te4 structure. The functional is GGA-PBE.

## Properties
Magnetic moment, μB/f.u.: 0.00
E_tot, eV per atom: -3.954

Unit cell a=8.380 b=8.380 c=7.726 alpha=117.06 beta=117.06 gamma=98.94
Fractional positions:
1 Er 0.125 0.875 0.750
2 Er 0.875 0.125 0.250
3 Cu 0.000 0.500 0.000
4 Cu 0.500 0.000 0.500
5 Cu 0.500 0.500 0.000
6 Cu 0.500 0.500 0.500
7 Te 0.135 0.274 0.793
8 Te 0.161 0.523 0.386
9 Te 0.274 0.135 0.293
10 Te 0.477 0.839 0.114
11 Te 0.523 0.161 0.886
12 Te 0.726 0.865 0.707
13 Te 0.839 0.477 0.614
14 Te 0.865 0.726 0.207

---

(4)
This record from OQMD via LeMat-Bulk describes a geometry-optimized Li2SiPt2 structure. The functional is GGA-PBE.

## Properties
Magnetic moment, μB/f.u.: 0.01
E_tot, eV per atom: -4.887

Unit cell a=6.152 b=6.152 c=4.159 alpha=90.00 beta=90.00 gamma=90.00
Fractional positions:
1 Li 0.158 0.342 0.000
2 Li 0.342 0.842 0.000
3 Li 0.658 0.158 0.000
4 Li 0.842 0.658 0.000
5 Si 0.000 0.000 0.500
6 Si 0.500 0.500 0.500
7 Pt 0.152 0.652 0.500
8 Pt 0.348 0.152 0.500
9 Pt 0.652 0.848 0.500
10 Pt 0.848 0.348 0.500

---

(5)
This record from OQMD via LeMat-Bulk describes a geometry-optimized ZnAs2Pd structure. The functional is GGA-PBE.

## Properties
E_tot, eV per atom: -3.839

Unit cell a=6.533 b=6.533 c=6.533 alpha=90.00 beta=90.00 gamma=90.00
Fractional positions:
1 Zn 0.000 0.000 0.000
2 Zn 0.000 0.500 0.500
3 Zn 0.500 0.000 0.500
4 Zn 0.500 0.500 0.000
5 As 0.000 0.000 0.500
6 As 0.000 0.500 0.000
7 As 0.250 0.250 0.250
8 As 0.250 0.750 0.750
9 As 0.500 0.000 0.000
10 As 0.500 0.500 0.500
11 As 0.750 0.250 0.750
12 As 0.750 0.750 0.250
13 Pd 0.250 0.250 0.750
14 Pd 0.250 0.750 0.250
15 Pd 0.750 0.250 0.250
16 Pd 0.750 0.750 0.750

---

(6)
This record from OQMD via LeMat-Bulk describes a geometry-optimized Nd2GdCu4Ge4 structure. The functional is GGA-PBE.

## Properties
Magnetic moment, μB/f.u.: 0.00
E_tot, eV per atom: -4.930

Unit cell a=8.133 b=8.133 c=8.133 alpha=149.38 beta=131.44 gamma=58.51
Fractional positions:
1 Nd 0.131 0.131 0.000
2 Nd 0.869 0.869 0.000
3 Gd 0.500 0.000 0.500
4 Cu 0.143 0.331 0.812
5 Cu 0.481 0.669 0.812
6 Cu 0.519 0.331 0.188
7 Cu 0.857 0.669 0.188
8 Ge 0.192 0.500 0.692
9 Ge 0.285 0.785 0.500
10 Ge 0.715 0.215 0.500
11 Ge 0.808 0.500 0.308